A plane-wave DFT calculation with PBE-GGA was carried out for MgTi2Fe after structural relaxation.

Calculated values
For the size of the total moment, the calculation gives 0.0 μB per cell. As for the space group: I-42d. Its density of states at the Fermi level is 5.9 states/eV/f.u. For the formation energy from the elements, the calculation gives 1.2 eV/f.u. The uncorrected energy comes out at -6.165 eV/atom.

Cell lengths 7.0412, 7.0412, 5.6593 Å; angles 51.53, 51.53, 90.00 degrees
Sites, in units of the cell vectors:
Ti1 0.0690 0.6250 0.2500
Ti2 0.6810 0.1250 0.2500
Ti3 0.8750 0.9310 0.7500
Ti4 0.3750 0.3190 0.7500
Mg1 0.5000 0.5000 0.0000
Mg2 0.2500 0.7500 0.5000
Fe1 0.7500 0.2500 0.5000
Fe2 0.0000 0.0000 0.0000